[1]
VASP calculation (PBE-GGA) on a relaxed Sm2CuAu2 crystal.

Output
DOS at the Fermi energy = 5.5 states/eV/cell
polymorph energy (0 for the lowest one) = 0.00 kcal/mol of atoms
crystal system = triclinic
uncorrected energy = -0.1714 hartree per atom
E_form = -647 meV per atom

```
data_Sm2CuAu2
_chemical_formula_sum 'Sm4 Cu2 Au4'
_cell_length_a 4.099
_cell_length_b 5.677
_cell_length_c 10.763
_cell_angle_alpha 90.70
_cell_angle_beta 100.89
_cell_angle_gamma 111.12
_space_group_name_H-M_alt 'P -1'
_space_group_IT_number 2
_space_group_name_Hall '-P 1'
loop_
_atom_site_label
_atom_site_type_symbol
_atom_site_fract_x
_atom_site_fract_y
_atom_site_fract_z
Sm1 Sm 0.071 0.256 0.386
Sm2 Sm 0.335 0.331 0.840
Cu1 Cu 0.382 0.086 0.179
Au1 Au 0.097 0.753 0.943
Au2 Au 0.352 0.818 0.384
```

***

[2]
VASP calculation (PBE-GGA) on a relaxed ScGa4Rh crystal.

Output
DOS at the Fermi energy = 10.2 states/eV/cell
crystal system = tetragonal
uncorrected energy = -0.1742 hartree per atom
E_form = -442 meV per atom

```
data_ScGa4Rh
_chemical_formula_sum 'Sc4 Ga16 Rh4'
_cell_length_a 6.460
_cell_length_b 6.460
_cell_length_c 10.528
_cell_angle_alpha 90.00
_cell_angle_beta 90.00
_cell_angle_gamma 90.00
_space_group_name_H-M_alt 'I 4/m c m'
_space_group_IT_number 140
_space_group_name_Hall '-I 4 2c'
loop_
_atom_site_label
_atom_site_type_symbol
_atom_site_fract_x
_atom_site_fract_y
_atom_site_fract_z
Sc1 Sc 0.000 0.000 0.000
Ga1 Ga 0.150 0.350 0.150
Rh1 Rh 0.000 0.000 0.250
```

***

[3]
VASP calculation (PBE-GGA) on a relaxed HoMgCdNi crystal.

Output
DOS at the Fermi energy = 16.9 states/eV/cell
crystal system = cubic
uncorrected energy = -0.1253 hartree per atom
E_form = -194 meV per atom

```
data_HoMgCdNi
_chemical_formula_sum 'Ho4 Mg4 Cd4 Ni4'
_cell_length_a 6.844
_cell_length_b 6.844
_cell_length_c 6.844
_cell_angle_alpha 90.00
_cell_angle_beta 90.00
_cell_angle_gamma 90.00
_space_group_name_H-M_alt 'F -4 3 m'
_space_group_IT_number 216
_space_group_name_Hall 'F -4 2 3'
loop_
_atom_site_label
_atom_site_type_symbol
_atom_site_fract_x
_atom_site_fract_y
_atom_site_fract_z
Ho1 Ho 0.000 0.000 0.000
Mg1 Mg 0.000 0.000 0.500
Cd1 Cd 0.250 0.250 0.750
Ni1 Ni 0.250 0.250 0.250
```

***

[4]
VASP calculation (PBE-GGA) on a relaxed InTe3Au crystal.

Output
DOS at the Fermi energy = 7.7 states/eV/cell
polymorph energy (0 for the lowest one) = 2.11 kcal/mol of atoms
crystal system = orthorhombic
uncorrected energy = -0.1123 hartree per atom

```
data_InTe3Au
_chemical_formula_sum 'In2 Te6 Au2'
_cell_length_a 4.453
_cell_length_b 6.850
_cell_length_c 14.462
_cell_angle_alpha 90.00
_cell_angle_beta 90.00
_cell_angle_gamma 90.00
_space_group_name_H-M_alt 'A m m 2'
_space_group_IT_number 38
_space_group_name_Hall 'A 2 -2'
loop_
_atom_site_label
_atom_site_type_symbol
_atom_site_fract_x
_atom_site_fract_y
_atom_site_fract_z
In1 In 0.000 0.000 0.000
Te1 Te 0.000 0.000 0.196
Te2 Te 0.500 0.233 0.456
Au1 Au 0.500 0.000 0.298
```

***

[5]
VASP calculation (PBE-GGA) on a relaxed PuMg2CdAu4 crystal.

Output
DOS at the Fermi energy = 51.3 states/eV/cell
crystal system = trigonal
uncorrected energy = -0.1600 hartree per atom
E_form = -410 meV per atom

```
data_PuMg2CdAu4
_chemical_formula_sum 'Pu3 Mg6 Cd3 Au12'
_cell_length_a 4.6947
_cell_length_b 4.6947
_cell_length_c 26.2486
_cell_angle_alpha 90.00
_cell_angle_beta 90.00
_cell_angle_gamma 120.00
_space_group_name_H-M_alt 'R -3 m'
_space_group_IT_number 166
_space_group_name_Hall '-R 3 2"'
loop_
_atom_site_label
_atom_site_type_symbol
_atom_site_fract_x
_atom_site_fract_y
_atom_site_fract_z
Pu1 Pu 0.0000 0.0000 0.0000
Mg1 Mg 0.0000 0.0000 0.2405
Cd1 Cd 0.0000 0.0000 0.5000
Au1 Au 0.0000 0.0000 0.1209
Au2 Au 0.0000 0.0000 0.3904
```

***

[6]
VASP calculation (PBE-GGA) on a relaxed La2CrCd crystal.

Output
DOS at the Fermi energy = 3.6 states/eV/cell
crystal system = tetragonal
uncorrected energy = -0.1802 hartree per atom
E_form = 194 meV per atom

```
data_La2CrCd
_chemical_formula_sum 'La2 Cr1 Cd1'
_cell_length_a 3.759
_cell_length_b 3.759
_cell_length_c 7.903
_cell_angle_alpha 90.00
_cell_angle_beta 90.00
_cell_angle_gamma 90.00
_space_group_name_H-M_alt 'P 4 m m'
_space_group_IT_number 99
_space_group_name_Hall 'P 4 -2'
loop_
_atom_site_label
_atom_site_type_symbol
_atom_site_fract_x
_atom_site_fract_y
_atom_site_fract_z
La1 La 0.000 0.000 0.000
La2 La 0.500 0.500 0.321
Cr1 Cr 0.500 0.500 0.759
Cd1 Cd 0.000 0.000 0.583
```